Entry 1:
Below is crystalline DyEr3TmSc at its relaxed geometry, with properties calculated at the PBE level.

Cell and atoms, written as POSCAR:
```
DyEr3TmSc
1.0
-4.212 -3.294 -0.604
0.770 1.421 10.855
-3.803 5.107 -1.328
Dy Tm Er Sc
2 2 6 2
direct
0.072 0.143 0.194
0.928 0.857 0.806
0.333 0.667 0.961
0.667 0.333 0.039
0.839 0.678 0.235
0.772 0.545 0.688
0.525 0.050 0.765
0.161 0.322 0.765
0.475 0.950 0.235
0.228 0.455 0.312
0.368 0.736 0.530
0.632 0.264 0.470
```

Energy of formation: 0.188 eV per atom
VASP energy: -4.661 eV/atom

Entry 2:
Below is crystalline DyErTm3Sc at its relaxed geometry, with properties calculated at the PBE level.

Cell and atoms, written as POSCAR:
```
DyErTm3Sc
1.0
4.895 0.000 0.000
-2.448 7.353 0.000
0.000 0.000 9.781
Er Sc Tm Dy
2 2 6 2
direct
0.000 0.000 0.000
0.000 0.000 0.500
0.833 0.665 0.750
0.167 0.335 0.250
0.332 0.665 0.501
0.831 0.662 0.250
0.332 0.665 0.999
0.169 0.338 0.750
0.668 0.335 0.499
0.668 0.335 0.001
0.502 0.003 0.250
0.498 0.997 0.750
```

Energy of formation: 0.038 eV per atom
VASP energy: -4.781 eV/atom

Entry 3:
Below is crystalline DyErTm4Sc2 at its relaxed geometry, with properties calculated at the PBE level.

Cell and atoms, written as POSCAR:
```
DyErTm4Sc2
1.0
-1.325 0.753 -3.085
-5.103 -2.640 1.547
-5.552 8.864 4.547
Tm Er Sc Dy
4 1 2 1
direct
0.500 0.247 0.752
0.000 0.753 0.747
0.500 0.753 0.248
0.000 0.247 0.253
0.000 0.500 0.500
0.000 0.000 0.000
0.500 0.000 0.500
0.500 0.500 0.000
```

Energy of formation: 0.043 eV per atom
VASP energy: -4.921 eV/atom

Entry 4:
Below is crystalline DyEr2Tm6Sc at its relaxed geometry, with properties calculated at the PBE level.

Cell and atoms, written as POSCAR:
```
DyEr2Tm6Sc
1.0
8.855 -1.967 -2.041
0.808 8.311 -1.927
0.808 -2.234 8.234
Tm Er Dy Sc
12 4 2 2
direct
0.312 0.990 0.434
0.616 0.494 0.708
0.812 0.434 0.990
0.188 0.566 0.010
0.057 0.128 0.752
0.557 0.752 0.128
0.943 0.872 0.248
0.443 0.248 0.872
0.384 0.506 0.292
0.884 0.292 0.506
0.116 0.708 0.494
0.688 0.010 0.566
0.453 0.800 0.695
0.547 0.200 0.305
0.953 0.695 0.800
0.047 0.305 0.200
0.750 0.023 0.977
0.250 0.977 0.023
0.750 0.588 0.412
0.250 0.412 0.588
```

Energy of formation: 0.129 eV per atom
VASP energy: -4.560 eV/atom

Entry 5:
Below is crystalline Dy2ErTm2Sc at its relaxed geometry, with properties calculated at the PBE level.

Cell and atoms, written as POSCAR:
```
Dy2ErTm2Sc
1.0
5.476 0.000 0.000
0.000 9.465 0.000
0.000 0.000 6.850
Dy Sc Er Tm
4 2 2 4
direct
0.500 0.834 0.247
0.000 0.334 0.253
0.000 0.666 0.747
0.500 0.166 0.753
0.000 0.000 0.000
0.500 0.500 0.500
0.000 0.000 0.500
0.500 0.500 0.000
0.000 0.667 0.251
0.500 0.833 0.751
0.000 0.333 0.749
0.500 0.167 0.249
```

Energy of formation: 0.097 eV per atom
VASP energy: -4.743 eV/atom

Entry 6:
Below is crystalline Dy6Er3Tm2Sc at its relaxed geometry, with properties calculated at the PBE level.

Cell and atoms, written as POSCAR:
```
Dy6Er3Tm2Sc
1.0
-5.387 -2.357 -1.493
4.923 -3.542 0.136
-1.852 -0.407 11.422
Er Dy Tm Sc
3 6 2 1
direct
0.834 0.166 0.500
0.500 0.500 0.500
0.166 0.834 0.500
0.587 0.918 0.753
0.413 0.082 0.247
0.249 0.249 0.753
0.918 0.587 0.753
0.751 0.751 0.247
0.082 0.413 0.247
0.667 0.333 0.000
0.333 0.667 0.000
0.000 0.000 0.000
```

Energy of formation: 0.029 eV per atom
VASP energy: -4.686 eV/atom

Entry 7:
Below is crystalline DyEr6Tm2Sc at its relaxed geometry, with properties calculated at the PBE level.

Cell and atoms, written as POSCAR:
```
DyEr6Tm2Sc
1.0
8.873 -1.947 -2.020
0.809 8.334 -1.923
0.809 -2.231 8.257
Er Dy Tm Sc
12 2 4 2
direct
0.616 0.493 0.708
0.444 0.246 0.874
0.944 0.874 0.246
0.056 0.126 0.754
0.688 0.008 0.564
0.312 0.992 0.436
0.188 0.564 0.008
0.116 0.708 0.493
0.384 0.507 0.292
0.884 0.292 0.507
0.812 0.436 0.992
0.556 0.754 0.126
0.750 0.023 0.977
0.250 0.977 0.023
0.452 0.799 0.695
0.952 0.695 0.799
0.548 0.201 0.305
0.048 0.305 0.201
0.750 0.587 0.413
0.250 0.413 0.587
```

Energy of formation: 0.129 eV per atom
VASP energy: -4.596 eV/atom

Entry 8:
Below is crystalline DyEr2Tm5Sc at its relaxed geometry, with properties calculated at the PBE level.

Cell and atoms, written as POSCAR:
```
DyEr2Tm5Sc
1.0
-0.216 -1.375 5.285
-5.681 -6.880 -4.847
8.258 -5.963 -1.214
Tm Dy Sc Er
10 2 2 4
direct
0.277 0.554 0.319
0.620 0.240 0.521
0.300 0.600 0.706
0.481 0.962 0.739
0.018 0.036 0.020
0.700 0.400 0.206
0.723 0.446 0.819
0.380 0.760 0.021
0.519 0.038 0.239
0.982 0.964 0.520
0.589 0.178 0.955
0.411 0.822 0.455
0.196 0.393 0.014
0.804 0.607 0.514
0.113 0.227 0.737
0.111 0.223 0.314
0.889 0.777 0.814
0.887 0.773 0.237
```

Energy of formation: 0.172 eV per atom
VASP energy: -4.541 eV/atom